# Rb3Tl2Hg7 | the Alexandria database | PBE-GGA | relaxed
data_Rb3Tl2Hg7
_cell_length_a 6.6566
_cell_length_b 6.6566
_cell_length_c 31.7086
_cell_angle_alpha 90.00
_cell_angle_beta 90.00
_cell_angle_gamma 120.00
_space_group_name_H-M_alt 'R -3 m'
_space_group_IT_number 166
_space_group_name_Hall '-R 3 2"'
loop_
_atom_site_label
_atom_site_type_symbol
_atom_site_fract_x
_atom_site_fract_y
_atom_site_fract_z
_atom_site_occupancy
Rb1 Rb 0.0000 0.0000 0.0000 1
Rb2 Rb 0.0000 0.0000 0.1412 1
Tl1 Tl 0.0000 0.0000 0.3373 1
Hg1 Hg 0.0000 0.0000 0.5000 1
Hg2 Hg 0.0110 0.5055 0.9133 1
# Formation energy: -3.74 kcal/mol of atoms
# Total DFT energy (no corrections): -0.974 eV/atom
# D(E_F): 19.19 states/eV/cell
# M_tot: 0.00 Bohr magnetons per cell

# RbTlHg | the Alexandria database | PBE-GGA | relaxed
data_RbTlHg
_cell_length_a 5.392
_cell_length_b 5.395
_cell_length_c 10.054
_cell_angle_alpha 89.62
_cell_angle_beta 89.76
_cell_angle_gamma 60.17
_space_group_name_H-M_alt 'P -1'
_space_group_IT_number 2
loop_
_space_group_symop_operation_xyz
'x,y,z'
'-x,-y,-z'
loop_
_atom_site_label
_atom_site_type_symbol
_atom_site_fract_x
_atom_site_fract_y
_atom_site_fract_z
_atom_site_occupancy
Rb1 Rb 0.166 0.170 0.168 1
Tl1 Tl 0.167 0.166 0.566 1
Hg1 Hg 0.500 0.498 0.664 1
# Formation energy: -2.78 kcal/mol of atoms
# Total DFT energy (no corrections): -1.333 eV/atom
# D(E_F): 2.48 states/eV/cell
# E above lowest polymorph: 21.2 meV/atom
# M_tot: 0.00 Bohr magnetons per cell

# RbTl2Hg5 | the Alexandria database | PBE-GGA | relaxed
data_RbTl2Hg5
_cell_length_a 8.622
_cell_length_b 8.622
_cell_length_c 6.832
_cell_angle_alpha 90.00
_cell_angle_beta 90.00
_cell_angle_gamma 90.00
_space_group_name_H-M_alt 'I 4/m m m'
_space_group_IT_number 139
_space_group_name_Hall '-I 4 2'
loop_
_atom_site_label
_atom_site_type_symbol
_atom_site_fract_x
_atom_site_fract_y
_atom_site_fract_z
_atom_site_occupancy
Rb1 Rb 0.000 0.000 0.000 1
Tl1 Tl 0.000 0.500 0.000 1
Hg1 Hg 0.000 0.000 0.500 1
Hg2 Hg 0.250 0.250 0.250 1
# Formation energy: -1.67 kcal/mol of atoms
# Total DFT energy (no corrections): -0.974 eV/atom
# D(E_F): 5.99 states/eV/cell
# M_tot: 0.00 Bohr magnetons per cell

# RbTl3Hg | the Alexandria database | PBE-GGA | relaxed
data_RbTl3Hg
_cell_length_a 5.964
_cell_length_b 5.964
_cell_length_c 5.964
_cell_angle_alpha 90.00
_cell_angle_beta 90.00
_cell_angle_gamma 90.00
_space_group_name_H-M_alt 'P m -3 m'
_space_group_IT_number 221
_space_group_name_Hall '-P 4 2 3'
loop_
_atom_site_label
_atom_site_type_symbol
_atom_site_fract_x
_atom_site_fract_y
_atom_site_fract_z
_atom_site_occupancy
Rb1 Rb 0.000 0.000 0.000 1
Tl1 Tl 0.000 0.500 0.500 1
Hg1 Hg 0.500 0.500 0.500 1
# Formation energy: 2.88 kcal/mol of atoms
# Total DFT energy (no corrections): -1.549 eV/atom
# D(E_F): 3.95 states/eV/cell
# E above lowest polymorph: 227.9 meV/atom
# M_tot: 0.00 Bohr magnetons per cell